DFT (PBE-GGA) results for a geometry-optimized Si3GeAs structure.

Lattice parameters (Å, degrees): 4.754 4.754 4.754 90.00 90.00 90.00
Fractional coordinates of all 5 atoms:
1 Si 0.000 0.000 0.500
2 As 0.500 0.500 0.500
3 Ge 0.000 0.000 0.000
4 Si 0.000 0.500 0.000
5 Si 0.500 0.000 0.000

Output
E_form (uncorrected) in meV/atom: 1066
ρ in Mg/m³: 3.583
Symmetry: Pm-3m